## SnPd3Pb (PBE)

Data for a relaxed SnPd3Pb crystal.

Cell lengths 4.9821, 4.9821, 4.9821 Å; angles 90.00, 90.00, 90.00 degrees
With the nearest neighbours (Å) after each atom.
Fractional positions:
Sn (0.0000, 0.0000, 0.0000)  6 Pd 2.49
Pd (0.0000, 0.0000, 0.5000)  2 Sn 2.49
Pd (0.0000, 0.5000, 0.0000)  2 Sn 2.49
Pd (0.5000, 0.0000, 0.0000)  2 Sn 2.49
Pb (0.5000, 0.5000, 0.5000)  12 Pd 3.52

Excess energy over the best structure of this formula in the dataset ... 0.529 eV/atom
Crystal system ... cubic
Total energy ... -22.27 eV for the cell shown
ΔE_f ... 204 meV/atom